1.
A plane-wave DFT calculation with PBE was carried out for a geometry-optimized Sc2Cr structure.

Computed properties:
Its space group is P6_3/mmc (194). The value obtained for the total magnetic moment is 2.04 μB/f.u. The value obtained for the formation energy is 222 meV/atom. As for the total energy: -7.207 eV per atom.

Cell lengths 4.7939, 4.7939, 6.1208 Å; angles 90.00, 90.00, 120.00 degrees
Last column: magnetic moment on the atom in μB.
Atoms (fractional coordinates):
Sc 0.0000 0.0000 0.0000  -0.43
Sc 0.3333 0.6667 0.7500  -0.26
Sc 0.6667 0.3333 0.2500  -0.26
Sc 0.0000 0.0000 0.5000  -0.43
Cr 0.3333 0.6667 0.2500  2.90
Cr 0.6667 0.3333 0.7500  2.90


2.
A plane-wave DFT calculation with PBE was carried out for a geometry-optimized ScCr structure.

Computed properties:
Its space group is Cmmm (65). The value obtained for the total magnetic moment is 0.00 μB/f.u. The value obtained for the formation energy is 244 meV/atom. As for the total energy: -7.733 eV per atom.

Cell lengths 6.0153, 7.5156, 3.0833 Å; angles 90.00, 90.00, 90.00 degrees
Atoms (fractional coordinates):
Sc 0.5000 0.7984 0.5000
Sc 0.5000 0.2016 0.5000
Sc 0.0000 0.7016 0.5000
Sc 0.0000 0.2984 0.5000
Cr 0.6596 0.5000 0.0000
Cr 0.1596 0.0000 0.0000
Cr 0.8404 0.0000 0.0000
Cr 0.3404 0.5000 0.0000


3.
A plane-wave DFT calculation with PBE was carried out for a geometry-optimized ScCr structure.

Computed properties:
Its space group is P6_3/m (176). The value obtained for the total magnetic moment is 0.00 μB/f.u. The value obtained for the formation energy is 802 meV/atom. As for the total energy: -7.175 eV per atom.

Cell lengths 9.7514, 9.7514, 2.9718 Å; angles 90.00, 90.00, 120.00 degrees
Atoms (fractional coordinates):
Cr 0.4903 0.9096 0.7500
Cr 0.0904 0.5807 0.7500
Cr 0.9096 0.4193 0.2500
Cr 0.5807 0.4903 0.2500
Cr 0.4193 0.5097 0.7500
Cr 0.5097 0.0904 0.2500
Sc 0.0941 0.3219 0.7500
Sc 0.9059 0.6781 0.2500
Sc 0.7722 0.0941 0.2500
Sc 0.6781 0.7722 0.7500
Sc 0.2278 0.9059 0.7500
Sc 0.3219 0.2278 0.2500


4.
A plane-wave DFT calculation with PBE was carried out for a geometry-optimized ScCr structure.

Computed properties:
Its space group is P4/m (83). The value obtained for the total magnetic moment is 0.00 μB/f.u. The value obtained for the formation energy is 507 meV/atom. As for the total energy: -7.471 eV per atom.

Cell lengths 9.2169, 9.2169, 3.9201 Å; angles 90.00, 90.00, 90.00 degrees
Atoms (fractional coordinates):
Sc 0.6662 0.2729 0.5000
Sc 0.0436 0.7751 0.0000
Sc 0.7271 0.6662 0.5000
Sc 0.2729 0.3338 0.5000
Sc 0.7751 0.9564 0.0000
Sc 0.3338 0.7271 0.5000
Sc 0.9564 0.2249 0.0000
Sc 0.2249 0.0436 0.0000
Cr 0.8737 0.5099 0.0000
Cr 0.0696 0.5941 0.5000
Cr 0.5099 0.1263 0.0000
Cr 0.4901 0.8737 0.0000
Cr 0.1263 0.4901 0.0000
Cr 0.4059 0.0696 0.5000
Cr 0.9304 0.4059 0.5000
Cr 0.5941 0.9304 0.5000